A relaxed Th8Hg2C3 crystal. Source: the Alexandria database, functional PBE-GGA.

As for the space group: C2/m (12). Its formation energy is -134.5 meV/atom.

Unit cell a=8.611 b=8.611 c=6.536 alpha=102.94 beta=102.94 gamma=50.33
Sites, in units of the cell vectors:
Th 0.098 0.098 0.891
Th 0.159 0.663 0.618
Th 0.337 0.841 0.382
Th 0.397 0.397 0.058
Th 0.603 0.603 0.942
Th 0.663 0.159 0.618
Th 0.841 0.337 0.382
Th 0.902 0.902 0.109
Hg 0.253 0.253 0.337
Hg 0.747 0.747 0.663
C 0.000 0.000 0.500
C 0.243 0.757 0.000
C 0.757 0.243 0.000